Tb11Cd9Pd4 | GGA-PBE | optimized geometry

Cell lengths 3.6609, 13.2572, 13.2572 Å; angles 112.82, 90.00, 90.00 degrees
Atoms (fractional coordinates):
Tb (0.0000, 0.5861, 0.9271)
Tb (0.0000, 0.4139, 0.0729)
Tb (0.0000, 0.9271, 0.5861)
Tb (0.0000, 0.0729, 0.4139)
Tb (0.0000, 0.6290, 0.3710)
Tb (0.0000, 0.3710, 0.6290)
Tb (0.0000, 0.8375, 0.1625)
Tb (0.0000, 0.1625, 0.8375)
Tb (0.0000, 0.0000, 0.0000)
Tb (0.0000, 0.6963, 0.6963)
Tb (0.0000, 0.3037, 0.3037)
Cd (0.5000, 0.6337, 0.1571)
Cd (0.5000, 0.3663, 0.8429)
Cd (0.5000, 0.1571, 0.6337)
Cd (0.5000, 0.8429, 0.3663)
Cd (0.5000, 0.7852, 0.9289)
Cd (0.5000, 0.2148, 0.0711)
Cd (0.5000, 0.9289, 0.7852)
Cd (0.5000, 0.0711, 0.2148)
Cd (0.5000, 0.5000, 0.5000)
Pd (0.5000, 0.5503, 0.7504)
Pd (0.5000, 0.4497, 0.2496)
Pd (0.5000, 0.7504, 0.5503)
Pd (0.5000, 0.2496, 0.4497)

* crystal system: orthorhombic
* uncorrected energy: -3.872 eV per atom
* energy of formation: -0.541 eV/atom

---

AgTeSe | GGA-PBE | optimized geometry

Cell lengths 3.2623, 3.2623, 8.2599 Å; angles 90.00, 90.00, 120.00 degrees
Atoms (fractional coordinates):
Ag (0.0000, 0.0000, 0.0143)
Se (0.6667, 0.3333, 0.2646)
Te (0.3333, 0.6667, 0.7211)

* formation energy without anion corrections: 0.8 eV per formula unit
* crystal system: trigonal
* uncorrected energy: -2.880 eV per atom

---

RbHf2Tl | GGA-PBE | optimized geometry

Cell lengths 5.2049, 5.2049, 5.2049 Å; angles 60.00, 60.00, 60.00 degrees
Atoms (fractional coordinates):
Tl (0.5000, 0.5000, 0.5000)
Hf (0.2500, 0.2500, 0.2500)
Hf (0.7500, 0.7500, 0.7500)
Rb (0.0000, 0.0000, 0.0000)

* crystal system: cubic
* uncorrected energy: -4.712 eV per atom
* energy of formation: 1.098 eV/atom

---

Which value of uncorrected energy does entry 3 give? -4.712 eV per atom